Record 1
A relaxed structure of RbTeMoAuS2, computed with PBE-GGA.

Computed properties:
Symmetry ... Cmcm
Total energy ... -57.2 eV/cell

Lattice parameters (Å, degrees): 8.4571 8.4571 10.4096 90.00 90.00 154.10
Site moments in Bohr magnetons follow the coordinates.
Sites, in units of the cell vectors:
S (0.0996, 0.9004, 0.5317)  -0.02
Rb (0.2683, 0.7317, 0.2500)  0.00
Te (0.5780, 0.4220, 0.2500)  -0.08
S (0.0996, 0.9004, 0.9683)  -0.02
Mo (0.5000, 0.5000, 0.5000)  1.97
Au (0.9436, 0.0564, 0.2500)  0.02
S (0.9004, 0.0996, 0.4683)  -0.02
Te (0.4220, 0.5780, 0.7500)  -0.08
Mo (0.5000, 0.5000, 0.0000)  1.98
Rb (0.7317, 0.2683, 0.7500)  0.00
S (0.9004, 0.0996, 0.0317)  -0.02
Au (0.0564, 0.9436, 0.7500)  0.02

***

Record 2
A relaxed structure of RbMoAu3Se4, computed with PBE-GGA.

Computed properties:
Symmetry ... P-43m
Total energy ... -37.3 eV/cell

Lattice parameters (Å, degrees): 6.4318 6.4318 6.4318 90.00 90.00 90.00
Site moments in Bohr magnetons follow the coordinates.
Sites, in units of the cell vectors:
Rb (0.0000, 0.0000, 0.0000)  0.00
Au (0.5000, 0.5000, 0.0000)  0.10
Se (0.7185, 0.7185, 0.2815)  0.01
Se (0.7185, 0.2815, 0.7185)  0.01
Au (0.5000, 0.0000, 0.5000)  0.05
Se (0.2815, 0.2815, 0.2815)  0.01
Mo (0.5000, 0.5000, 0.5000)  1.37
Au (0.0000, 0.5000, 0.5000)  0.01
Se (0.2815, 0.7185, 0.7185)  0.01